# PBE+U BeCoNO, relaxed
# - symmetry = Pmc2_1 (26)
# - energy relative to the lowest polymorph listed for this composition (meV per atom) = 24.2
data_BeCoNO
_chemical_formula_sum 'Be2 Co2 N2 O2'
_cell_length_a 2.748
_cell_length_b 5.212
_cell_length_c 4.933
_cell_angle_alpha 90.00
_cell_angle_beta 90.00
_cell_angle_gamma 90.00
_space_group_name_H-M_alt 'P 1'
_space_group_IT_number 1
_space_group_name_Hall 'P 1'
loop_
_atom_site_label
_atom_site_type_symbol
_atom_site_fract_x
_atom_site_fract_y
_atom_site_fract_z
_atom_site_occupancy
Be1 Be 0.000 0.163 0.000 1
Be2 Be 0.000 0.837 0.500 1
Co1 Co 0.500 0.322 0.500 1
Co2 Co 0.500 0.678 0.000 1
N1 N 0.000 0.134 0.350 1
N2 N 0.000 0.866 0.850 1
O1 O 0.500 0.315 0.901 1
O2 O 0.500 0.685 0.401 1